Arrangement i

Entry from the Alexandria database: a relaxed Si3SeN crystal (PBE-GGA).

The calculation puts the density at 3.9 Mg/m³. The magnetization is 0.0 Bohr magnetons per cell.

The space group is Pm-3m (No. 221) and the conventional cell measures 4.232, 4.232 and 4.232 Å, with angles of 90.00, 90.00 and 90.00 degrees. The inequivalent atoms are Si at (0.000, 0.000, 0.500), Se at (0.500, 0.500, 0.500) and N at (0.000, 0.000, 0.000).

***

Arrangement ii

Entry from the Alexandria database: a relaxed Si3SeN crystal (PBE-GGA).

The calculation puts the density at 2.6 Mg/m³. The magnetization is 0.0 Bohr magnetons per cell.

The space group is Pm-3m (No. 221) and the conventional cell measures 4.825, 4.825 and 4.825 Å, with angles of 90.00, 90.00 and 90.00 degrees. The inequivalent atoms are Si at (0.000, 0.000, 0.500), Se at (0.000, 0.000, 0.000) and N at (0.500, 0.500, 0.500).

***

Q: What are the energies relative to the best structure? A: arrangement i 0; arrangement ii 1381, in meV/atom.

***

Arrangement i

Entry from the Alexandria database: a relaxed SiSe2N crystal (PBE-GGA).

The calculation puts the density at 5.6 Mg/m³. The magnetization is 0.0 Bohr magnetons per cell.

The space group is Fm-3m (No. 225) and the conventional cell measures 6.189, 6.189 and 6.189 Å, with angles of 90.00, 90.00 and 90.00 degrees. The inequivalent atoms are Si at (0.000, 0.000, 0.000), Se at (0.250, 0.250, 0.250) and N at (0.000, 0.000, 0.500).

***

Arrangement ii

Entry from the Alexandria database: a relaxed SiSe2N crystal (PBE-GGA).

The calculation puts the density at 4.9 Mg/m³. The magnetization is 0.0 Bohr magnetons per cell.

The space group is R-3m (No. 166, hexagonal axes) and the conventional cell measures 3.0727, 3.0727 and 24.6429 Å, with angles of 90.00, 90.00 and 120.00 degrees. The inequivalent atoms are Si at (0.0000, 0.0000, 0.0000), Se at (0.0000, 0.0000, 0.1058) and N at (0.0000, 0.0000, 0.5000).

***

Arrangement iii

Entry from the Alexandria database: a relaxed SiSe2N crystal (PBE-GGA).

The calculation puts the density at 4.5 Mg/m³. The magnetization is 0.0 Bohr magnetons per cell.

The space group is I-42d (No. 122) and the conventional cell measures 6.097, 6.097 and 7.997 Å, with angles of 90.00, 90.00 and 90.00 degrees. The inequivalent atoms are Si at (0.000, 0.000, 0.000), Se at (0.214, 0.250, 0.625) and N at (0.000, 0.000, 0.500).

***

Arrangement iv

Entry from the Alexandria database: a relaxed SiSe2N crystal (PBE-GGA).

The calculation puts the density at 4.1 Mg/m³. The magnetization is 0.0 Bohr magnetons per cell.

The space group is R-3m (No. 166, hexagonal axes) and the conventional cell measures 3.7260, 3.7260 and 20.4138 Å, with angles of 90.00, 90.00 and 120.00 degrees. The inequivalent atoms are Si at (0.0000, 0.0000, 0.0000), Se at (0.0000, 0.0000, 0.4119) and N at (0.0000, 0.0000, 0.5000).

***

Q: What are the energies relative to the best structure? A: arrangement i 540; arrangement ii 367; arrangement iii 120; arrangement iv 0, in meV/atom.